The following is a DFT calculation (PBE) of a relaxed AlVPt6 crystal.

Properties
**ΔE_f**: -598 meV per atom
**Space-group type**: P4/mmm (123)
**Density of states at the Fermi level**: 6.27 states/eV/cell

```
data_AlVPt6
_chemical_formula_sum 'Al1 V1 Pt6'
_symmetry_space_group_name_H-M 'P 1'
_symmetry_Int_Tables_number 1
_cell_length_a 3.917
_cell_length_b 3.917
_cell_length_c 7.845
_cell_angle_alpha 90.00
_cell_angle_beta 90.00
_cell_angle_gamma 90.00
loop_
_symmetry_equiv_pos_as_xyz
'x,y,z'
loop_
_atom_site_label
_atom_site_fract_x
_atom_site_fract_y
_atom_site_fract_z
Al1 0.000 0.000 0.000
V1 0.000 0.000 0.500
Pt1 0.000 0.500 0.254
Pt2 0.000 0.500 0.746
Pt3 0.500 0.000 0.254
Pt4 0.500 0.000 0.746
Pt5 0.500 0.500 0.000
Pt6 0.500 0.500 0.500
```